# PBE Sc5Tl2Pt2, relaxed
# Energy of formation in kJ per mole of atoms: -67
# Density in g/cm3: 8.350
# Electronic total energy in eV per atom: -6.082
data_Sc5Tl2Pt2
_symmetry_space_group_name_H-M 'C m c e'
_symmetry_Int_Tables_number 64
_symmetry_space_group_name_Hall '-C 2ac 2'
_cell_length_a 14.967
_cell_length_b 7.839
_cell_length_c 6.941
_cell_angle_alpha 90.00
_cell_angle_beta 90.00
_cell_angle_gamma 90.00
loop_
_atom_site_label
_atom_site_type_symbol
_atom_site_fract_x
_atom_site_fract_y
_atom_site_fract_z
Sc1 Sc 0.000 0.000 0.000
Sc2 Sc 0.117 0.176 0.338
Tl1 Tl 0.217 0.000 0.000
Pt1 Pt 0.000 0.134 0.636


# PBE Sc8Tl2Pt, relaxed
# Energy of formation in kJ per mole of atoms: -32
# Density in g/cm3: 6.238
# Electronic total energy in eV per atom: -5.916
data_Sc8Tl2Pt
_symmetry_space_group_name_H-M 'C 1 2/m 1'
_symmetry_Int_Tables_number 12
_cell_length_a 18.054
_cell_length_b 4.785
_cell_length_c 6.212
_cell_angle_alpha 90.00
_cell_angle_beta 107.07
_cell_angle_gamma 90.00
loop_
_symmetry_equiv_pos_as_xyz
'x,y,z'
'-x,-y,-z'
'-x,y,-z'
'x,-y,z'
'x+1/2,y+1/2,z'
'-x+1/2,-y+1/2,-z'
'-x+1/2,y+1/2,-z'
'x+1/2,-y+1/2,z'
loop_
_atom_site_label
_atom_site_type_symbol
_atom_site_fract_x
_atom_site_fract_y
_atom_site_fract_z
Sc1 Sc 0.018 0.000 0.280
Sc2 Sc 0.089 0.500 0.959
Sc3 Sc 0.148 0.500 0.504
Sc4 Sc 0.217 0.000 0.827
Tl1 Tl 0.178 0.000 0.252
Pt1 Pt 0.000 0.500 0.500


# PBE ScTlPt2, relaxed
# Energy of formation in kJ per mole of atoms: -57
# Density in g/cm3: 14.293
# Electronic total energy in eV per atom: -5.783
data_ScTlPt2
_symmetry_space_group_name_H-M 'P 4/m m m'
_symmetry_Int_Tables_number 123
_symmetry_space_group_name_Hall '-P 4 2'
_cell_length_a 4.449
_cell_length_b 4.449
_cell_length_c 3.754
_cell_angle_alpha 90.00
_cell_angle_beta 90.00
_cell_angle_gamma 90.00
loop_
_atom_site_label
_atom_site_type_symbol
_atom_site_fract_x
_atom_site_fract_y
_atom_site_fract_z
Sc1 Sc 0.000 0.000 0.000
Tl1 Tl 0.500 0.500 0.000
Pt1 Pt 0.000 0.500 0.500


# PBE ScTlPt2, relaxed
# Energy of formation in kJ per mole of atoms: -37
# Density in g/cm3: 12.971
# Electronic total energy in eV per atom: -5.582
data_ScTlPt2
_symmetry_space_group_name_H-M 'I -4 2 d'
_symmetry_Int_Tables_number 122
_symmetry_space_group_name_Hall 'I -4 2bw'
_cell_length_a 7.496
_cell_length_b 7.496
_cell_length_c 5.829
_cell_angle_alpha 90.00
_cell_angle_beta 90.00
_cell_angle_gamma 90.00
loop_
_atom_site_label
_atom_site_type_symbol
_atom_site_fract_x
_atom_site_fract_y
_atom_site_fract_z
Sc1 Sc 0.000 0.000 0.000
Tl1 Tl 0.000 0.000 0.500
Pt1 Pt 0.230 0.250 0.125


# PBE ScTlPt2, relaxed
# Energy of formation in kJ per mole of atoms: -45
# Density in g/cm3: 12.332
# Electronic total energy in eV per atom: -5.663
data_ScTlPt2
_symmetry_space_group_name_H-M 'R -3 m'
_symmetry_Int_Tables_number 166
_symmetry_space_group_name_Hall '-R 3 2"'
_cell_length_a 3.7455
_cell_length_b 3.7455
_cell_length_c 21.2626
_cell_angle_alpha 90.00
_cell_angle_beta 90.00
_cell_angle_gamma 120.00
loop_
_atom_site_label
_atom_site_type_symbol
_atom_site_fract_x
_atom_site_fract_y
_atom_site_fract_z
Sc1 Sc 0.0000 0.0000 0.0000
Tl1 Tl 0.0000 0.0000 0.5000
Pt1 Pt 0.0000 0.0000 0.2565


# PBE ScTlPt2, relaxed
# Energy of formation in kJ per mole of atoms: -61
# Density in g/cm3: 13.469
# Electronic total energy in eV per atom: -5.826
data_ScTlPt2
_symmetry_space_group_name_H-M 'P 1 m 1'
_symmetry_Int_Tables_number 6
_cell_length_a 3.551
_cell_length_b 4.265
_cell_length_c 5.495
_cell_angle_alpha 90.00
_cell_angle_beta 108.65
_cell_angle_gamma 90.00
loop_
_symmetry_equiv_pos_as_xyz
'x,y,z'
'x,-y,z'
loop_
_atom_site_label
_atom_site_type_symbol
_atom_site_fract_x
_atom_site_fract_y
_atom_site_fract_z
Sc1 Sc 0.000 0.000 0.000
Tl1 Tl 0.710 0.500 0.416
Pt1 Pt 0.280 0.000 0.560
Pt2 Pt 0.447 0.500 0.891


# PBE Sc6TlPt2, relaxed
# Energy of formation in kJ per mole of atoms: -67
# Density in g/cm3: 7.230
# Electronic total energy in eV per atom: -6.522
data_Sc6TlPt2
_symmetry_space_group_name_H-M 'I m m m'
_symmetry_Int_Tables_number 71
_symmetry_space_group_name_Hall '-I 2 2'
_cell_length_a 8.916
_cell_length_b 9.086
_cell_length_c 9.801
_cell_angle_alpha 90.00
_cell_angle_beta 90.00
_cell_angle_gamma 90.00
loop_
_atom_site_label
_atom_site_type_symbol
_atom_site_fract_x
_atom_site_fract_y
_atom_site_fract_z
Sc1 Sc 0.000 0.210 0.237
Sc2 Sc 0.208 0.313 0.500
Sc3 Sc 0.208 0.500 0.171
Tl1 Tl 0.000 0.000 0.000
Tl2 Tl 0.000 0.000 0.500
Pt1 Pt 0.000 0.344 0.000
Pt2 Pt 0.000 0.500 0.360


# PBE Sc4TlPt3, relaxed
# Energy of formation in kJ per mole of atoms: -93
# Density in g/cm3: 10.498
# Electronic total energy in eV per atom: -6.689
data_Sc4TlPt3
_symmetry_space_group_name_H-M 'P 4/m m m'
_symmetry_Int_Tables_number 123
_symmetry_space_group_name_Hall '-P 4 2'
_cell_length_a 4.778
_cell_length_b 4.778
_cell_length_c 6.717
_cell_angle_alpha 90.00
_cell_angle_beta 90.00
_cell_angle_gamma 90.00
loop_
_atom_site_label
_atom_site_type_symbol
_atom_site_fract_x
_atom_site_fract_y
_atom_site_fract_z
Sc1 Sc 0.000 0.500 0.235
Tl1 Tl 0.000 0.000 0.500
Pt1 Pt 0.000 0.000 0.000
Pt2 Pt 0.500 0.500 0.000
Pt3 Pt 0.500 0.500 0.500


# PBE Sc2TlPt2, relaxed
# Energy of formation in kJ per mole of atoms: -76
# Density in g/cm3: 10.224
# Electronic total energy in eV per atom: -6.210
data_Sc2TlPt2
_symmetry_space_group_name_H-M 'I 4/m m m'
_symmetry_Int_Tables_number 139
_symmetry_space_group_name_Hall '-I 4 2'
_cell_length_a 4.572
_cell_length_b 4.572
_cell_length_c 10.635
_cell_angle_alpha 90.00
_cell_angle_beta 90.00
_cell_angle_gamma 90.00
loop_
_atom_site_label
_atom_site_type_symbol
_atom_site_fract_x
_atom_site_fract_y
_atom_site_fract_z
Sc1 Sc 0.000 0.500 0.250
Tl1 Tl 0.000 0.000 0.000
Pt1 Pt 0.000 0.000 0.379


# PBE ScTlPt2, relaxed
# Energy of formation in kJ per mole of atoms: -58
# Density in g/cm3: 14.282
# Electronic total energy in eV per atom: -5.793
data_ScTlPt2
_symmetry_space_group_name_H-M 'C m m m'
_symmetry_Int_Tables_number 65
_symmetry_space_group_name_Hall '-C 2 2'
_cell_length_a 5.972
_cell_length_b 6.590
_cell_length_c 3.779
_cell_angle_alpha 90.00
_cell_angle_beta 90.00
_cell_angle_gamma 90.00
loop_
_atom_site_label
_atom_site_type_symbol
_atom_site_fract_x
_atom_site_fract_y
_atom_site_fract_z
Sc1 Sc 0.000 0.000 0.000
Tl1 Tl 0.000 0.500 0.000
Pt1 Pt 0.250 0.250 0.500


# PBE ScTl3Pt, relaxed
# Energy of formation in kJ per mole of atoms: 28
# Density in g/cm3: 9.578
# Electronic total energy in eV per atom: -3.609
# Energy above the most stable polymorph in this dataset in kJ/mol of atoms: 0.0
data_ScTl3Pt
_symmetry_space_group_name_H-M 'P m -3 m'
_symmetry_Int_Tables_number 221
_symmetry_space_group_name_Hall '-P 4 2 3'
_cell_length_a 5.289
_cell_length_b 5.289
_cell_length_c 5.289
_cell_angle_alpha 90.00
_cell_angle_beta 90.00
_cell_angle_gamma 90.00
loop_
_atom_site_label
_atom_site_type_symbol
_atom_site_fract_x
_atom_site_fract_y
_atom_site_fract_z
Sc1 Sc 0.000 0.000 0.000
Tl1 Tl 0.000 0.500 0.500
Pt1 Pt 0.500 0.500 0.500


# PBE ScTlPt2, relaxed
# Energy of formation in kJ per mole of atoms: -62
# Density in g/cm3: 14.551
# Electronic total energy in eV per atom: -5.837
data_ScTlPt2
_symmetry_space_group_name_H-M 'I -4 m 2'
_symmetry_Int_Tables_number 119
_symmetry_space_group_name_Hall 'I -4 -2'
_cell_length_a 4.095
_cell_length_b 4.095
_cell_length_c 8.704
_cell_angle_alpha 90.00
_cell_angle_beta 90.00
_cell_angle_gamma 90.00
loop_
_atom_site_label
_atom_site_type_symbol
_atom_site_fract_x
_atom_site_fract_y
_atom_site_fract_z
Sc1 Sc 0.000 0.000 0.000
Tl1 Tl 0.000 0.500 0.750
Pt1 Pt 0.000 0.000 0.500
Pt2 Pt 0.000 0.500 0.250


# PBE ScTlPt2, relaxed
# Energy of formation in kJ per mole of atoms: -55
# Density in g/cm3: 13.938
# Electronic total energy in eV per atom: -5.763
data_ScTlPt2
_symmetry_space_group_name_H-M 'P 4 m m'
_symmetry_Int_Tables_number 99
_cell_length_a 3.643
_cell_length_b 3.643
_cell_length_c 5.741
_cell_angle_alpha 90.00
_cell_angle_beta 90.00
_cell_angle_gamma 90.00
loop_
_symmetry_equiv_pos_as_xyz
'x,y,z'
'-y,x,z'
'-x,-y,z'
'y,-x,z'
'-x,y,z'
'y,x,z'
'x,-y,z'
'-y,-x,z'
loop_
_atom_site_label
_atom_site_type_symbol
_atom_site_fract_x
_atom_site_fract_y
_atom_site_fract_z
Sc1 Sc 0.000 0.000 0.000
Tl1 Tl 0.500 0.500 0.322
Pt1 Pt 0.000 0.000 0.528
Pt2 Pt 0.500 0.500 0.820


# PBE Sc4TlPt2, relaxed
# Energy of formation in kJ per mole of atoms: -66
# Density in g/cm3: 7.894
# Electronic total energy in eV per atom: -6.364
data_Sc4TlPt2
_symmetry_space_group_name_H-M 'R -3 m'
_symmetry_Int_Tables_number 166
_symmetry_space_group_name_Hall '-R 3 2"'
_cell_length_a 4.3311
_cell_length_b 4.3311
_cell_length_c 30.0817
_cell_angle_alpha 90.00
_cell_angle_beta 90.00
_cell_angle_gamma 120.00
loop_
_atom_site_label
_atom_site_type_symbol
_atom_site_fract_x
_atom_site_fract_y
_atom_site_fract_z
Sc1 Sc 0.0000 0.0000 0.1060
Sc2 Sc 0.0000 0.0000 0.3017
Tl1 Tl 0.0000 0.0000 0.5000
Pt1 Pt 0.0000 0.0000 0.3970


# PBE Sc2TlPt9, relaxed
# Energy of formation in kJ per mole of atoms: -70
# Density in g/cm3: 17.221
# Electronic total energy in eV per atom: -6.511
data_Sc2TlPt9
_symmetry_space_group_name_H-M 'P 4/m m m'
_symmetry_Int_Tables_number 123
_symmetry_space_group_name_Hall '-P 4 2'
_cell_length_a 4.029
_cell_length_b 4.029
_cell_length_c 12.177
_cell_angle_alpha 90.00
_cell_angle_beta 90.00
_cell_angle_gamma 90.00
loop_
_atom_site_label
_atom_site_type_symbol
_atom_site_fract_x
_atom_site_fract_y
_atom_site_fract_z
Sc1 Sc 0.000 0.000 0.165
Tl1 Tl 0.000 0.000 0.500
Pt1 Pt 0.000 0.500 0.000
Pt2 Pt 0.000 0.500 0.324
Pt3 Pt 0.500 0.500 0.163
Pt4 Pt 0.500 0.500 0.500


# PBE ScTlPt2, relaxed
# Energy of formation in kJ per mole of atoms: -48
# Density in g/cm3: 14.418
# Electronic total energy in eV per atom: -5.690
data_ScTlPt2
_symmetry_space_group_name_H-M 'F -4 3 m'
_symmetry_Int_Tables_number 216
_symmetry_space_group_name_Hall 'F -4 2 3'
_cell_length_a 6.654
_cell_length_b 6.654
_cell_length_c 6.654
_cell_angle_alpha 90.00
_cell_angle_beta 90.00
_cell_angle_gamma 90.00
loop_
_atom_site_label
_atom_site_type_symbol
_atom_site_fract_x
_atom_site_fract_y
_atom_site_fract_z
Sc1 Sc 0.000 0.000 0.000
Tl1 Tl 0.250 0.250 0.250
Pt1 Pt 0.000 0.000 0.500
Pt2 Pt 0.250 0.250 0.750


# PBE ScTlPt2, relaxed
# Energy of formation in kJ per mole of atoms: -67
# Density in g/cm3: 13.549
# Electronic total energy in eV per atom: -5.887
data_ScTlPt2
_symmetry_space_group_name_H-M 'P 1 2/m 1'
_symmetry_Int_Tables_number 10
_cell_length_a 3.364
_cell_length_b 3.415
_cell_length_c 6.873
_cell_angle_alpha 90.00
_cell_angle_beta 96.92
_cell_angle_gamma 90.00
loop_
_symmetry_equiv_pos_as_xyz
'x,y,z'
'-x,-y,-z'
'-x,y,-z'
'x,-y,z'
loop_
_atom_site_label
_atom_site_type_symbol
_atom_site_fract_x
_atom_site_fract_y
_atom_site_fract_z
Sc1 Sc 0.000 0.000 0.000
Tl1 Tl 0.000 0.000 0.500
Pt1 Pt 0.433 0.500 0.789


# PBE Sc5Tl4Pt, relaxed
# Energy of formation in kJ per mole of atoms: -45
# Density in g/cm3: 9.203
# Electronic total energy in eV per atom: -5.180
data_Sc5Tl4Pt
_symmetry_space_group_name_H-M 'P 4/m m m'
_symmetry_Int_Tables_number 123
_symmetry_space_group_name_Hall '-P 4 2'
_cell_length_a 3.376
_cell_length_b 3.376
_cell_length_c 19.591
_cell_angle_alpha 90.00
_cell_angle_beta 90.00
_cell_angle_gamma 90.00
loop_
_atom_site_label
_atom_site_type_symbol
_atom_site_fract_x
_atom_site_fract_y
_atom_site_fract_z
Sc1 Sc 0.000 0.000 0.000
Sc2 Sc 0.000 0.000 0.209
Sc3 Sc 0.000 0.000 0.419
Tl1 Tl 0.500 0.500 0.105
Tl2 Tl 0.500 0.500 0.313
Pt1 Pt 0.500 0.500 0.500


# PBE Sc2TlPt2, relaxed
# Energy of formation in kJ per mole of atoms: -64
# Density in g/cm3: 10.410
# Electronic total energy in eV per atom: -6.089
data_Sc2TlPt2
_symmetry_space_group_name_H-M 'I 4/m m m'
_symmetry_Int_Tables_number 139
_symmetry_space_group_name_Hall '-I 4 2'
_cell_length_a 3.947
_cell_length_b 3.947
_cell_length_c 14.020
_cell_angle_alpha 90.00
_cell_angle_beta 90.00
_cell_angle_gamma 90.00
loop_
_atom_site_label
_atom_site_type_symbol
_atom_site_fract_x
_atom_site_fract_y
_atom_site_fract_z
Sc1 Sc 0.000 0.000 0.121
Tl1 Tl 0.000 0.000 0.500
Pt1 Pt 0.000 0.500 0.250


# PBE ScTlVPt2, relaxed
# Energy of formation in kJ per mole of atoms: 115
# Density in g/cm3: 8.809
# Electronic total energy in eV per atom: -4.786
data_ScTlVPt2
_symmetry_space_group_name_H-M 'P 4/m m m'
_symmetry_Int_Tables_number 123
_symmetry_space_group_name_Hall '-P 4 2'
_cell_length_a 5.044
_cell_length_b 5.044
_cell_length_c 5.117
_cell_angle_alpha 90.00
_cell_angle_beta 90.00
_cell_angle_gamma 90.00
loop_
_atom_site_label
_atom_site_type_symbol
_atom_site_fract_x
_atom_site_fract_y
_atom_site_fract_z
Sc1 Sc 0.000 0.000 0.000
Tl1 Tl 0.000 0.000 0.500
V1 V 0.500 0.500 0.000
Pt1 Pt 0.000 0.500 0.500